[1]
Compound: AlCuN2F
Source: Alexandria
Functional: GGA-PBEsol
Structure: relaxed

Lattice parameters (Å, degrees): 3.747 3.747 3.672 90.00 90.00 90.00
Element x y z (fractional)
1 Al 0.000 0.000 0.000
2 Cu 0.500 0.500 0.500
3 N 0.000 0.500 0.500
4 N 0.500 0.000 0.500
5 F 0.500 0.500 0.000

## Properties
ΔE_f (raw)   0.55 eV per atom
Energy   -24.6 eV/cell
Crystal system   tetragonal
Mass density   4.43 g/cm³
DOS at the Fermi energy   0.629 states/eV/atom
Magnetic moment   0.001 μB per atom


[2]
Compound: AlCuNF2
Source: Alexandria
Functional: GGA-PBEsol
Structure: relaxed

Lattice parameters (Å, degrees): 3.499 3.499 4.083 90.00 90.00 90.00
Element x y z (fractional)
1 Al 0.000 0.000 0.000
2 Cu 0.500 0.500 0.500
3 N 0.000 0.000 0.500
4 F 0.000 0.500 0.000
5 F 0.500 0.000 0.000

## Properties
ΔE_f (raw)   -1.29 eV per atom
Energy   -27.2 eV/cell
Crystal system   tetragonal
Mass density   4.73 g/cm³
DOS at the Fermi energy   0.296 states/eV/atom
Magnetic moment   0.000 μB per atom


[3]
Compound: RbAlCuF6
Source: Alexandria
Functional: GGA-PBEsol
Structure: relaxed

Lattice parameters (Å, degrees): 6.782 7.074 9.889 90.00 90.00 90.00
Element x y z (fractional)
1 Rb 0.016 0.250 0.123
2 Rb 0.484 0.750 0.623
3 Rb 0.516 0.250 0.377
4 Rb 0.984 0.750 0.877
5 Al 0.000 0.000 0.500
6 Al 0.000 0.500 0.500
7 Al 0.500 0.000 0.000
8 Al 0.500 0.500 0.000
9 Cu 0.199 0.250 0.762
10 Cu 0.301 0.750 0.262
11 Cu 0.699 0.250 0.738
12 Cu 0.801 0.750 0.238
13 F 0.059 0.250 0.474
14 F 0.060 0.750 0.166
15 F 0.128 0.002 0.660
16 F 0.128 0.498 0.660
17 F 0.229 0.557 0.417
18 F 0.229 0.943 0.417
19 F 0.271 0.057 0.917
20 F 0.271 0.443 0.917
21 F 0.372 0.502 0.160
22 F 0.372 0.998 0.160
23 F 0.440 0.250 0.666
24 F 0.441 0.750 0.974
25 F 0.559 0.250 0.026
26 F 0.560 0.750 0.334
27 F 0.628 0.002 0.840
28 F 0.628 0.498 0.840
29 F 0.729 0.557 0.083
30 F 0.729 0.943 0.083
31 F 0.771 0.057 0.583
32 F 0.771 0.443 0.583
33 F 0.872 0.502 0.340
34 F 0.872 0.998 0.340
35 F 0.940 0.250 0.834
36 F 0.941 0.750 0.526

## Properties
ΔE_f (raw)   -2.76 eV per atom
Energy   -183.4 eV/cell
Crystal system   orthorhombic
Mass density   4.06 g/cm³
DOS at the Fermi energy   0.490 states/eV/atom
Magnetic moment   0.111 μB per atom


[4]
Compound: AlCuSi2F
Source: Alexandria
Functional: GGA-PBEsol
Structure: relaxed

Lattice parameters (Å, degrees): 4.318 4.318 4.070 90.00 90.00 90.00
Element x y z (fractional)
1 Al 0.000 0.000 0.000
2 Cu 0.500 0.500 0.000
3 Si 0.000 0.500 0.500
4 Si 0.500 0.000 0.500
5 F 0.500 0.500 0.500

## Properties
ΔE_f (raw)   0.25 eV per atom
Energy   -20.6 eV/cell
Crystal system   tetragonal
Mass density   3.63 g/cm³
DOS at the Fermi energy   0.346 states/eV/atom
Magnetic moment   0.000 μB per atom


[5]
Compound: Sr2AlCuF
Source: Alexandria
Functional: GGA-PBEsol
Structure: relaxed

Lattice parameters (Å, degrees): 5.988 5.988 3.835 90.00 90.00 90.00
Element x y z (fractional)
1 Sr 0.000 0.500 0.000
2 Sr 0.500 0.000 0.000
3 Al 0.000 0.000 0.500
4 Cu 0.500 0.500 0.000
5 F 0.500 0.500 0.500

## Properties
ΔE_f (raw)   -0.32 eV per atom
Energy   -15.6 eV/cell
Crystal system   tetragonal
Mass density   3.44 g/cm³
DOS at the Fermi energy   1.172 states/eV/atom
Magnetic moment   0.005 μB per atom


[6]
Compound: Al2FeCu
Source: Alexandria
Functional: GGA-PBEsol
Structure: relaxed

Lattice parameters (Å, degrees): 2.725 3.639 5.131 90.00 90.00 90.00
Element x y z (fractional)
1 Al 0.000 0.000 0.000
2 Al 0.500 0.500 0.305
3 Fe 0.500 0.500 0.798
4 Cu 0.000 0.000 0.520

## Properties
Energy   -22.0 eV/cell
Crystal system   orthorhombic
Mass density   5.66 g/cm³
DOS at the Fermi energy   0.684 states/eV/atom
Magnetic moment   0.410 μB per atom


[7]
Compound: Al2FeCu
Source: Alexandria
Functional: GGA-PBEsol
Structure: relaxed

Lattice parameters (Å, degrees): 4.713 4.713 4.713 136.36 136.36 63.42
Element x y z (fractional)
1 Al 0.000 0.000 0.000
2 Al 0.750 0.250 0.500
3 Fe 0.250 0.750 0.500
4 Cu 0.500 0.500 0.000

## Properties
Energy   -22.5 eV/cell
Crystal system   tetragonal
Mass density   5.85 g/cm³
DOS at the Fermi energy   0.292 states/eV/atom
Magnetic moment   0.253 μB per atom


[8]
Compound: Al2FeCu
Source: Alexandria
Functional: GGA-PBEsol
Structure: relaxed

Lattice parameters (Å, degrees): 4.798 4.798 3.869 112.99 112.99 36.77
Element x y z (fractional)
1 Al 0.000 0.000 0.000
2 Al 0.230 0.230 0.722
3 Fe 0.738 0.738 0.228
4 Cu 0.484 0.484 0.484

## Properties
Energy   -22.5 eV/cell
Crystal system   monoclinic
Mass density   5.92 g/cm³
DOS at the Fermi energy   0.424 states/eV/atom
Magnetic moment   0.000 μB per atom


Question: Which of these has the lowest mass density?
Answer: Sr2AlCuF


Question: Which formula does entry 3 have?
Answer: RbAlCuF6


Question: What is the mass density in the fourth record?
Answer: 3.63 g/cm³